Record 1
PBE LiPaCdN3, optimized geometry; uncorrected formation energy = -0.4291 eV per atom; N(E_F) = 1.4 states/eV/f.u.
1.0
3.448 0.000 0.000
-1.724 5.661 0.000
0.000 0.000 7.723
Li Pa Cd N
2 2 2 6
Direct
0.471 0.943 0.750 Li
0.529 0.057 0.250 Li
0.736 0.472 0.750 Pa
0.264 0.528 0.250 Pa
0.000 0.000 0.500 Cd
0.000 0.000 0.000 Cd
0.672 0.343 0.404 N
0.328 0.657 0.596 N
0.328 0.657 0.904 N
0.672 0.343 0.096 N
0.091 0.181 0.750 N
0.909 0.819 0.250 N

---

Record 2
PBE Li6Cd2PtN, optimized geometry; uncorrected formation energy = -0.3150 eV per atom; N(E_F) = 3.1 states/eV/f.u.
1.0
-0.597 0.908 5.018
-6.014 -0.228 -2.208
-6.464 -4.025 4.275
Li Cd Pt N
6 2 1 1
Direct
0.119 0.124 0.705 Li
0.454 0.727 0.194 Li
0.971 0.638 0.084 Li
0.029 0.362 0.916 Li
0.546 0.273 0.806 Li
0.881 0.876 0.295 Li
0.743 0.074 0.544 Cd
0.257 0.926 0.456 Cd
0.500 0.500 0.000 Pt
0.000 0.000 0.000 N

---

Record 3
PBE Li2CdRhN, optimized geometry; uncorrected formation energy = -0.2645 eV per atom; N(E_F) = 2.7 states/eV/f.u.
1.0
4.308 0.000 0.000
0.000 4.308 0.000
0.000 0.000 3.780
N Rh Li Cd
1 1 2 1
Direct
0.000 0.000 0.000 N
0.000 0.000 0.500 Rh
0.000 0.500 0.000 Li
0.500 0.000 0.000 Li
0.500 0.500 0.500 Cd

---

Q: Which of these has the lowest uncorrected formation energy?
A: LiPaCdN3